Entry 1:
VASP calculation (SCAN) on a crystal of BeRuRh relaxed with PBEsol.

```
BeRuRh
1.0
-1.359 1.792 1.534
-2.357 -1.097 -0.806
2.006 -3.275 3.186
Ru Be Rh
1 1 1
Cartesian
0.104 -2.043 2.477
0.000 -0.009 0.011
-1.813 -0.529 1.427
```

Summary:
calculated total energy: -73.92 eV/cell
ΔE_f: -0.32 eV per atom

Entry 2:
VASP calculation (SCAN) on a crystal of BeRuRh2 relaxed with PBEsol.

```
BeRuRh2
1.0
2.692 0.000 0.000
0.000 2.692 0.000
0.000 0.000 6.546
Ru Rh Be
1 2 1
Cartesian
1.346 1.346 0.000
0.000 0.000 4.691
0.000 0.000 1.855
1.346 1.346 3.273
```

Summary:
calculated total energy: -108.11 eV/cell
ΔE_f: -0.35 eV per atom

Entry 3:
VASP calculation (SCAN) on a crystal of BeRuRh2 relaxed with PBEsol.

```
BeRuRh2
1.0
2.785 0.000 0.000
0.000 4.206 0.000
-1.393 -2.103 4.096
Rh Ru Be
2 1 1
Cartesian
1.393 2.103 2.290
0.000 0.000 1.806
0.000 2.103 0.000
1.393 0.000 0.000
```

Summary:
calculated total energy: -107.48 eV/cell
ΔE_f: -0.19 eV per atom

Entry 4:
VASP calculation (SCAN) on a crystal of BeRhS2 relaxed with PBEsol.

```
BeRhS2
1.0
3.553 0.000 0.000
1.777 3.077 0.000
1.777 1.026 6.253
Rh Be S
1 1 2
Cartesian
3.553 2.051 3.126
0.000 0.000 0.000
5.330 3.077 1.940
1.777 1.026 4.312
```

Summary:
calculated total energy: -58.80 eV/cell

Entry 5:
VASP calculation (SCAN) on a crystal of BeRhS2 relaxed with PBEsol.

```
BeRhS2
1.0
5.025 0.000 0.000
0.000 5.025 0.000
-2.512 -2.512 4.956
S Rh Be
4 2 2
Cartesian
3.607 1.256 1.239
1.418 3.769 1.239
1.256 1.094 3.717
-1.256 -1.094 3.717
0.000 0.000 0.000
0.000 2.512 2.478
2.512 2.512 0.000
2.512 0.000 2.478
```

Summary:
calculated total energy: -119.48 eV/cell

Entry 6:
VASP calculation (SCAN) on a crystal of Be3RhS relaxed with PBEsol.

```
Be3RhS
1.0
4.155 0.000 0.000
0.000 4.155 0.000
0.000 0.000 4.155
Rh S Be
1 1 3
Cartesian
0.000 0.000 0.000
2.077 2.077 2.077
0.000 0.000 2.077
2.077 0.000 0.000
0.000 2.077 0.000
```

Summary:
calculated total energy: -54.00 eV/cell